1.
Density functional theory data (PBE-GGA) for crystalline Cs3PmAg2I8 at its relaxed geometry.

It has space group P-3m1 (No. 164), with a = 8.6426 Å, b = 8.6426 Å, c = 11.0735 Å, α = 90.00°, β = 90.00° and γ = 120.00°. The distinct sites, in fractional coordinates, are Cs at (0.0000, 0.0000, 0.0000), Cs at (0.3333, 0.6667, 0.6217), Pm at (0.0000, 0.0000, 0.5000), Ag at (0.3333, 0.6667, 0.1957), I at (0.1647, 0.3295, 0.3313) and I at (0.3333, 0.6667, 0.9531).

The energy relative to the elements, uncorrected comes out at -1.10 eV/atom. Its spin magnetization is 0.0 μB per formula unit. The density comes out at 4.11 g cm⁻³. The density of states at the Fermi level comes out at 0.0 states/eV/cell.


2.
Density functional theory data (PBE-GGA) for crystalline Cs2PmAg2I6 at its relaxed geometry.

It has space group C2/m (No. 12), with a = 13.856 Å, b = 9.521 Å, c = 8.861 Å, α = 90.00°, β = 114.91° and γ = 90.00°. The distinct sites, in fractional coordinates, are Cs at (0.217, 0.000, 0.168), Pm at (0.000, 0.000, 0.500), Ag at (0.040, 0.500, 0.380), I at (0.030, 0.226, 0.771) and I at (0.246, 0.000, 0.625).

The energy relative to the elements, uncorrected comes out at -0.99 eV/atom. Its spin magnetization is 0.0 μB per formula unit. The density comes out at 4.35 g cm⁻³. The density of states at the Fermi level comes out at 6.6 states/eV/cell.


3.
Density functional theory data (PBE-GGA) for crystalline Cs2PrAg2I6 at its relaxed geometry.

It has space group C2/m (No. 12), with a = 13.922 Å, b = 9.542 Å, c = 8.936 Å, α = 90.00°, β = 115.02° and γ = 90.00°. The distinct sites, in fractional coordinates, are Cs at (0.217, 0.000, 0.168), Pr at (0.000, 0.000, 0.500), Ag at (0.039, 0.500, 0.380), I at (0.032, 0.228, 0.774) and I at (0.247, 0.000, 0.621).

The energy relative to the elements, uncorrected comes out at -0.99 eV/atom. Its spin magnetization is 0.0 μB per formula unit. The density comes out at 4.27 g cm⁻³. The density of states at the Fermi level comes out at 6.7 states/eV/cell.


4.
Density functional theory data (PBE-GGA) for crystalline CsPrAgI6 at its relaxed geometry.

It has space group P1 (No. 1), with a = 7.636 Å, b = 7.800 Å, c = 8.419 Å, α = 93.51°, β = 97.93° and γ = 110.64°. The distinct sites, in fractional coordinates, are Cs at (0.000, 0.000, 0.000), Pr at (0.397, 0.647, 0.506), Ag at (0.786, 0.339, 0.434), I at (0.050, 0.563, 0.222), I at (0.102, 0.300, 0.627), I at (0.429, 0.935, 0.779), I at (0.487, 0.393, 0.233), I at (0.638, 0.953, 0.308) and I at (0.712, 0.539, 0.706).

The energy relative to the elements, uncorrected comes out at -0.99 eV/atom. Its spin magnetization is 0.0 μB per formula unit. The density comes out at 4.11 g cm⁻³. The density of states at the Fermi level comes out at 5.7 states/eV/cell.


5.
Density functional theory data (PBE-GGA) for crystalline Cs2PrAgI6 at its relaxed geometry.

It has space group P-3m1 (No. 164), with a = 8.6384 Å, b = 8.6384 Å, c = 7.2600 Å, α = 90.00°, β = 90.00° and γ = 120.00°. The distinct sites, in fractional coordinates, are Cs at (0.3333, 0.6667, 0.2464), Pr at (0.0000, 0.0000, 0.0000), Ag at (0.0000, 0.0000, 0.5000) and I at (0.1698, 0.3397, 0.7458).

The energy relative to the elements, uncorrected comes out at -1.25 eV/atom. Its spin magnetization is 0.0 μB per formula unit. The density comes out at 4.52 g cm⁻³. The value obtained for the offset from the most stable computed form is 0.000 eV per atom. The density of states at the Fermi level comes out at 0.0 states/eV/cell.


6.
Density functional theory data (PBE-GGA) for crystalline CsPrAg2I6 at its relaxed geometry.

It has space group C2/c (No. 15), with a = 17.408 Å, b = 14.588 Å, c = 8.529 Å, α = 90.00°, β = 115.27° and γ = 90.00°. The distinct sites, in fractional coordinates, are Cs at (0.000, 0.208, 0.250), Pr at (0.000, 0.101, 0.750), Ag at (0.062, 0.429, 0.095), I at (0.114, 0.258, 0.973), I at (0.122, 0.421, 0.468) and I at (0.124, 0.027, 0.595).

The energy relative to the elements, uncorrected comes out at -0.91 eV/atom. Its spin magnetization is 0.0 μB per formula unit. The density comes out at 4.24 g cm⁻³. The density of states at the Fermi level comes out at 0.0 states/eV/cell.


7.
Density functional theory data (PBE-GGA) for crystalline Cs3PrAg2I9 at its relaxed geometry.

It has space group P-3m1 (No. 164), with a = 8.5657 Å, b = 8.5657 Å, c = 10.6529 Å, α = 90.00°, β = 90.00° and γ = 120.00°. The distinct sites, in fractional coordinates, are Cs at (0.0000, 0.0000, 0.0000), Cs at (0.3333, 0.6667, 0.6818), Pr at (0.0000, 0.0000, 0.5000), Ag at (0.3333, 0.6667, 0.1473), I at (0.0000, 0.5000, 0.0000) and I at (0.1712, 0.3424, 0.3295).

The energy relative to the elements, uncorrected comes out at -1.04 eV/atom. Its spin magnetization is 0.0 μB per formula unit. The density comes out at 4.65 g cm⁻³. The density of states at the Fermi level comes out at 6.4 states/eV/cell.


8.
Density functional theory data (PBE-GGA) for crystalline Cs3PrAg2I8 at its relaxed geometry.

It has space group P-3m1 (No. 164), with a = 8.6849 Å, b = 8.6849 Å, c = 11.0844 Å, α = 90.00°, β = 90.00° and γ = 120.00°. The distinct sites, in fractional coordinates, are Cs at (0.0000, 0.0000, 0.0000), Cs at (0.3333, 0.6667, 0.6207), Pr at (0.0000, 0.0000, 0.5000), Ag at (0.3333, 0.6667, 0.1934), I at (0.1658, 0.3317, 0.3293) and I at (0.3333, 0.6667, 0.9510).

The energy relative to the elements, uncorrected comes out at -1.10 eV/atom. Its spin magnetization is 0.0 μB per formula unit. The density comes out at 4.06 g cm⁻³. The density of states at the Fermi level comes out at 0.0 states/eV/cell.


9.
Density functional theory data (PBE-GGA) for crystalline Cs2PrAgI6 at its relaxed geometry.

It has space group Fm-3m (No. 225), with a = 12.367 Å, b = 12.367 Å, c = 12.367 Å, α = 90.00°, β = 90.00° and γ = 90.00°. The distinct sites, in fractional coordinates, are Cs at (0.250, 0.250, 0.250), Pr at (0.000, 0.000, 0.000), Ag at (0.000, 0.000, 0.500) and I at (0.000, 0.000, 0.253).

The energy relative to the elements, uncorrected comes out at -1.23 eV/atom. Its spin magnetization is 0.0 μB per formula unit. The density comes out at 4.48 g cm⁻³. The value obtained for the offset from the most stable computed form is 0.023 eV per atom. The density of states at the Fermi level comes out at 0.0 states/eV/cell.


10.
Density functional theory data (PBE-GGA) for crystalline Cs2PuAgI5 at its relaxed geometry.

It has space group Cmc2_1 (No. 36), with a = 4.807 Å, b = 22.726 Å, c = 15.511 Å, α = 90.00°, β = 90.00° and γ = 90.00°. The distinct sites, in fractional coordinates, are Cs at (0.000, 0.115, 0.000), Cs at (0.000, 0.122, 0.627), Pu at (0.000, 0.201, 0.328), Ag at (0.000, 0.424, 0.759), I at (0.000, 0.061, 0.360), I at (0.000, 0.289, 0.967), I at (0.000, 0.303, 0.685), I at (0.000, 0.342, 0.316) and I at (0.000, 0.492, 0.607).

The energy relative to the elements, uncorrected comes out at -1.09 eV/atom. Its spin magnetization is 6.0 μB per formula unit. The density comes out at 4.91 g cm⁻³. The density of states at the Fermi level comes out at 75.0 states/eV/cell.


11.
Density functional theory data (PBE-GGA) for crystalline CsPuAgI4 at its relaxed geometry.

It has space group P2_1/m (No. 11), with a = 7.391 Å, b = 8.496 Å, c = 9.892 Å, α = 90.00°, β = 97.18° and γ = 90.00°. The distinct sites, in fractional coordinates, are Cs at (0.215, 0.250, 0.045), Pu at (0.158, 0.750, 0.449), Ag at (0.338, 0.250, 0.668), I at (0.101, 0.515, 0.708), I at (0.330, 0.750, 0.152) and I at (0.435, 0.250, 0.404).

The energy relative to the elements, uncorrected comes out at -0.93 eV/atom. Its spin magnetization is 6.0 μB per formula unit. The density comes out at 5.35 g cm⁻³. The density of states at the Fermi level comes out at 39.2 states/eV/cell.


12.
Density functional theory data (PBE-GGA) for crystalline Cs2RbAgI4 at its relaxed geometry.

It has space group Cmcm (No. 63), with a = 5.134 Å, b = 16.653 Å, c = 19.614 Å, α = 90.00°, β = 90.00° and γ = 90.00°. The distinct sites, in fractional coordinates, are Cs at (0.000, 0.143, 0.060), Rb at (0.000, 0.398, 0.250), Ag at (0.000, 0.319, 0.750), I at (0.000, 0.087, 0.250), I at (0.000, 0.207, 0.638) and I at (0.000, 0.500, 0.000).

The energy relative to the elements, uncorrected comes out at -1.18 eV/atom. Its spin magnetization is 0.0 μB per formula unit. The density comes out at 3.83 g cm⁻³. The density of states at the Fermi level comes out at 0.0 states/eV/cell.